# 1
{"formula": "K2HfCu2", "functional": "SCAN", "state": "single point on PBEsol structure", "lattice": [[-2.604, 2.604, 4.650], [2.604, -2.604, 4.650], [2.604, 2.604, -4.650]], "species": ["K", "K", "Hf", "Cu", "Cu"], "fractional_positions": [[0.142, 0.142, 0.000], [0.858, 0.858, 0.000], [0.500, 0.500, 0.000], [0.250, 0.750, 0.500], [0.750, 0.250, 0.500]], "spacegroup": "I4/mmm", "formation_enthalpy_0k_ev_per_atom": 1.404}


# 2
{"formula": "Y4Sc5", "functional": "SCAN", "state": "single point on PBEsol structure", "lattice": [[-5.000, 5.000, 2.380], [5.000, -5.000, 2.380], [5.000, 5.000, -2.380]], "species": ["Y", "Y", "Y", "Y", "Sc", "Sc", "Sc", "Sc", "Sc"], "fractional_positions": [[0.000, 0.325, 0.325], [0.000, 0.675, 0.675], [0.325, 0.000, 0.325], [0.675, 0.000, 0.675], [0.000, 0.000, 0.000], [0.337, 0.337, 0.673], [0.337, 0.663, 0.000], [0.663, 0.337, 0.000], [0.663, 0.663, 0.327]], "e_above_lowest_polymorph_kcal_per_mol_atoms": 0.38, "spacegroup": "I4/mmm", "formation_enthalpy_0k_ev_per_atom": 0.097}


Result set for E_tot: -102.7 -181.7 eV for the cell shown, one per record in the order listed.
Result set for magnetic moment: 0.2721 0.0001 μB/atom, one per record in the order listed.